MoCN2O | Alexandria | PBE+U | optimized geometry; total moment = 0.0 Bohr magnetons per cell; space group = P4/mmm, No. 123; VASP energy = -5.7999 eV per atom; V = 60.6 Å³/cell
1.0
4.006 0.000 0.000
0.000 4.006 0.000
0.000 0.000 3.774
Mo C N O
1 1 2 1
Cartesian
0.000 0.000 0.000
2.003 2.003 1.887
0.000 2.003 0.000
2.003 0.000 0.000
0.000 0.000 1.887